Entry 1:
Below is TlCrNi2 after structural relaxation, with properties calculated at the GGA-PBEsol level.

Lattice parameters (Å, degrees): 2.8517 2.8517 24.2074 90.00 90.00 120.00
Closest atoms and distances in Å follow each position.
Element x y z (fractional)
Tl 0.0000 0.0000 0.0000  6 Ni 2.80, 6 Tl 2.85
Tl 0.3333 0.6667 0.6667  6 Ni 2.80, 6 Tl 2.85
Tl 0.6667 0.3333 0.3333  6 Ni 2.80, 6 Tl 2.85
Cr 0.0000 0.0000 0.5000  6 Ni 2.42
Cr 0.3333 0.6667 0.1667  6 Ni 2.42
Cr 0.6667 0.3333 0.8333  6 Ni 2.42
Ni 0.0000 0.0000 0.2400  3 Cr 2.42
Ni 0.0000 0.0000 0.7600  3 Cr 2.42
Ni 0.3333 0.6667 0.4267  3 Cr 2.42
Ni 0.3333 0.6667 0.9066  3 Cr 2.42
Ni 0.6667 0.3333 0.0934  3 Cr 2.42
Ni 0.6667 0.3333 0.5733  3 Cr 2.42

* formation energy: 0.5478 eV/atom
* energy: -5.75 eV/atom

=====

Entry 2:
Below is TlCr2Ni after structural relaxation, with properties calculated at the GGA-PBEsol level.

Lattice parameters (Å, degrees): 2.9989 2.9989 6.7059 90.00 90.00 90.00
Closest atoms and distances in Å follow each position.
Element x y z (fractional)
Tl 0.0000 0.0000 0.0000  8 Cr 2.90, 4 Tl 3.00
Cr 0.5000 0.5000 0.2956  4 Ni 2.53, 1 Cr 2.74
Cr 0.5000 0.5000 0.7044  4 Ni 2.53, 1 Cr 2.74
Ni 0.0000 0.0000 0.5000  8 Cr 2.53

* formation energy: 0.6100 eV/atom
* energy: -6.71 eV/atom

=====

Entry 3:
Below is TlCrNi2 after structural relaxation, with properties calculated at the GGA-PBEsol level.

Lattice parameters (Å, degrees): 6.0249 6.0249 6.0249 90.00 90.00 90.00
Closest atoms and distances in Å follow each position.
Element x y z (fractional)
Tl 0.0000 0.0000 0.0000  8 Ni 2.61
Tl 0.0000 0.5000 0.5000  8 Ni 2.61
Tl 0.5000 0.0000 0.5000  8 Ni 2.61
Tl 0.5000 0.5000 0.0000  8 Ni 2.61
Cr 0.0000 0.0000 0.5000  8 Ni 2.61
Cr 0.0000 0.5000 0.0000  8 Ni 2.61
Cr 0.5000 0.0000 0.0000  8 Ni 2.61
Cr 0.5000 0.5000 0.5000  8 Ni 2.61
Ni 0.2500 0.2500 0.2500  4 Cr 2.61, 4 Tl 2.61
Ni 0.2500 0.2500 0.7500  4 Cr 2.61, 4 Tl 2.61
Ni 0.2500 0.7500 0.2500  4 Cr 2.61, 4 Tl 2.61
Ni 0.2500 0.7500 0.7500  4 Cr 2.61, 4 Tl 2.61
Ni 0.7500 0.2500 0.2500  4 Cr 2.61, 4 Tl 2.61
Ni 0.7500 0.2500 0.7500  4 Cr 2.61, 4 Tl 2.61
Ni 0.7500 0.7500 0.2500  4 Cr 2.61, 4 Tl 2.61
Ni 0.7500 0.7500 0.7500  4 Cr 2.61, 4 Tl 2.61

* formation energy: 0.3113 eV/atom
* energy: -5.99 eV/atom

=====

Entry 4:
Below is TlCrNi after structural relaxation, with properties calculated at the GGA-PBEsol level.

Lattice parameters (Å, degrees): 5.9943 5.9943 5.9943 90.00 90.00 90.00
Closest atoms and distances in Å follow each position.
Element x y z (fractional)
Tl 0.0000 0.0000 0.0000  4 Cr 2.60
Tl 0.0000 0.5000 0.5000  4 Cr 2.60
Tl 0.5000 0.0000 0.5000  4 Cr 2.60
Tl 0.5000 0.5000 0.0000  4 Cr 2.60
Cr 0.2500 0.2500 0.7500  4 Tl 2.60, 4 Ni 2.60
Cr 0.2500 0.7500 0.2500  4 Tl 2.60, 4 Ni 2.60
Cr 0.7500 0.2500 0.2500  4 Tl 2.60, 4 Ni 2.60
Cr 0.7500 0.7500 0.7500  4 Tl 2.60, 4 Ni 2.60
Ni 0.0000 0.0000 0.5000  4 Cr 2.60
Ni 0.0000 0.5000 0.0000  4 Cr 2.60
Ni 0.5000 0.0000 0.0000  4 Cr 2.60
Ni 0.5000 0.5000 0.5000  4 Cr 2.60

* formation energy: 0.8648 eV/atom
* energy: -5.48 eV/atom

=====

Q: What is the formation energy in the third record?
A: 0.3113 eV/atom